# 1
Entry from Alexandria via LeMat-Bulk: an optimized crystal structure of SrMn2Cr (PBE).

```
4
Lattice="4.858 0.000 0.000 0.000 4.858 0.000 0.000 0.000 3.429" Properties=species:S:1:pos:R:3 pbc="T T T"
Sr 0.000 0.000 0.000
Mn 0.000 2.429 1.714
Mn 2.429 0.000 1.714
Cr 2.429 2.429 0.000
```

Results
* energy above the lowest structure with this stoichiometry: 417.9 meV per atom



# 2
Entry from Alexandria via LeMat-Bulk: an optimized crystal structure of AlCd4Os (PBE).

```
6
Lattice="0.000 3.881 3.881 3.881 0.000 3.881 3.881 3.881 0.000" Properties=species:S:1:pos:R:3 pbc="T T T"
Al 0.000 0.000 0.000
Cd 4.848 2.914 2.914
Cd 2.914 4.848 2.914
Cd 2.914 2.914 4.848
Cd 4.848 4.848 4.848
Os 1.941 1.941 1.941
```



# 3
Entry from Alexandria via LeMat-Bulk: an optimized crystal structure of Tl12Ag3As5 (PBE).

```
80
Lattice="-8.526 8.526 8.526 8.526 -8.526 8.526 8.526 8.526 -8.526" Properties=species:S:1:pos:R:3 pbc="T T T"
Tl 2.536 -0.448 1.413
Tl 10.253 5.676 -4.711
Tl 8.078 -1.413 2.536
Tl 13.237 -1.727 2.850
Tl 11.062 0.448 1.413
Tl 10.253 -2.850 4.711
Tl 1.413 2.536 -0.448
Tl 11.376 3.815 -1.727
Tl 5.676 4.711 -1.727
Tl 7.113 2.536 0.448
Tl -0.448 1.413 2.536
Tl 4.711 -1.727 5.676
Tl 8.078 7.113 -2.536
Tl 4.711 1.727 2.850
Tl 7.113 -2.536 8.078
Tl 5.676 -4.711 10.253
Tl 2.850 4.711 1.727
Tl 9.940 5.990 0.448
Tl 2.536 8.078 -1.413
Tl 10.253 2.850 3.815
Tl 4.711 10.253 -2.850
Tl 8.078 1.413 5.990
Tl 1.727 2.850 4.711
Tl 2.536 0.448 7.113
Tl 5.990 8.078 1.413
Tl 6.799 5.676 3.815
Tl 0.448 7.113 2.536
Tl 3.815 -1.727 11.376
Tl -1.727 5.676 4.711
Tl 5.990 0.448 9.940
Tl -1.413 2.536 8.078
Tl 5.676 3.815 6.799
Tl 2.850 13.237 -1.727
Tl 1.413 11.062 0.448
Tl 3.815 6.799 5.676
Tl 0.448 1.413 11.062
Tl 3.815 10.253 2.850
Tl 8.974 7.113 5.990
Tl 1.413 5.990 8.078
Tl 2.850 3.815 10.253
Tl -2.850 4.711 10.253
Tl 7.113 5.990 8.974
Tl -1.727 11.376 3.815
Tl -2.536 8.078 7.113
Tl -4.711 10.253 5.676
Tl 0.448 9.940 5.990
Tl -1.727 2.850 13.237
Tl 5.990 8.974 7.113
Ag 4.263 2.132 0.000
Ag 8.526 4.263 -2.132
Ag 2.132 0.000 4.263
Ag 10.658 0.000 4.263
Ag 0.000 4.263 2.132
Ag 4.263 -2.132 8.526
Ag 4.263 10.658 0.000
Ag 8.526 4.263 6.395
Ag -2.132 8.526 4.263
Ag 6.395 8.526 4.263
Ag 0.000 4.263 10.658
Ag 4.263 6.395 8.526
As 0.000 0.000 0.000
As 4.263 4.263 -4.263
As 4.263 -4.263 4.263
As 8.526 0.000 0.000
As 12.789 2.132 0.000
As 8.526 -4.263 6.395
As 6.395 8.526 -4.263
As 6.395 0.000 4.263
As 4.263 6.395 0.000
As 8.526 4.263 2.132
As -4.263 4.263 4.263
As 0.000 8.526 0.000
As 0.000 0.000 8.526
As 4.263 4.263 4.263
As 0.000 4.263 6.395
As 4.263 2.132 8.526
As 2.132 8.526 4.263
As 2.132 0.000 12.789
As 0.000 12.789 2.132
As -4.263 6.395 8.526
```



# 4
Entry from Alexandria via LeMat-Bulk: an optimized crystal structure of FeCo5 (PBE).

```
6
Lattice="3.983 0.000 0.000 -1.992 3.450 0.000 0.000 0.000 4.882" Properties=species:S:1:pos:R:3 pbc="T T T"
Fe 0.000 0.000 0.000
Co 0.000 0.000 2.441
Co 0.000 2.300 1.689
Co 0.000 2.300 4.110
Co 1.992 1.150 0.772
Co 1.992 1.150 3.193
```



# 5
Entry from Alexandria via LeMat-Bulk: an optimized crystal structure of TePd15Pb4 (PBE).

```
20
Lattice="4.115 0.000 0.000 0.000 4.115 0.000 0.000 0.000 20.453" Properties=species:S:1:pos:R:3 pbc="T T T"
Te 0.000 0.000 0.000
Pd 0.000 2.057 2.015
Pd 0.000 2.057 6.117
Pd 0.000 2.057 10.227
Pd 0.000 2.057 14.336
Pd 0.000 2.057 18.439
Pd 2.057 0.000 2.015
Pd 2.057 0.000 6.117
Pd 2.057 0.000 10.227
Pd 2.057 0.000 14.336
Pd 2.057 0.000 18.439
Pd 2.057 2.057 0.000
Pd 2.057 2.057 4.049
Pd 2.057 2.057 8.165
Pd 2.057 2.057 12.288
Pd 2.057 2.057 16.404
Pb 0.000 0.000 4.089
Pb 0.000 0.000 8.182
Pb 0.000 0.000 12.271
Pb 0.000 0.000 16.364
```

Results
* formation energy without anion corrections: -5.324 eV/f.u.



# 6
Entry from Alexandria via LeMat-Bulk: an optimized crystal structure of CsVH2Br8 (PBE).

```
12
Lattice="6.715 0.000 0.000 -0.111 6.739 0.000 -2.117 -0.554 9.723" Properties=species:S:1:pos:R:3 pbc="T T T"
Cs 0.000 0.000 0.000
V -1.059 -0.277 4.861
H 0.985 4.728 7.192
H 3.501 1.458 2.530
Br 0.110 1.331 3.453
Br -0.473 1.063 6.813
Br 0.925 5.140 5.113
Br 1.060 4.403 8.655
Br 3.426 1.782 1.067
Br 3.561 1.046 4.610
Br 4.959 5.122 2.910
Br 4.376 4.854 6.270
```



# 7
Entry from Alexandria via LeMat-Bulk: an optimized crystal structure of Rb4GeS4 (PBE).

```
18
Lattice="9.243 0.000 0.000 0.000 9.243 0.000 0.000 0.000 7.094" Properties=species:S:1:pos:R:3 pbc="T T T"
Rb 0.221 2.311 0.683
Rb 2.311 0.221 4.230
Rb 2.311 4.400 4.230
Rb 4.400 2.311 0.683
Rb 4.843 6.932 6.410
Rb 6.932 4.843 2.863
Rb 6.932 9.022 2.863
Rb 9.022 6.932 6.410
Ge 2.311 6.932 1.773
Ge 6.932 2.311 5.320
S 0.438 6.932 3.032
S 2.311 5.060 0.515
S 2.311 8.805 0.515
S 4.183 6.932 3.032
S 5.060 2.311 4.062
S 6.932 0.438 6.579
S 6.932 4.183 6.579
S 8.805 2.311 4.062
```

Results
* formation energy without anion corrections: -9.304 eV/f.u.



# 8
Entry from Alexandria via LeMat-Bulk: an optimized crystal structure of Ag3OF (PBE).

```
5
Lattice="4.408 0.000 0.000 0.000 4.408 0.000 0.000 0.000 4.408" Properties=species:S:1:pos:R:3 pbc="T T T"
Ag 0.000 0.000 2.204
Ag 0.000 2.204 0.000
Ag 2.204 0.000 0.000
O 0.000 0.000 0.000
F 2.204 2.204 2.204
```

Results
* formation energy without anion corrections: -1.449 eV/f.u.
* energy above the lowest structure with this stoichiometry: 96.1 meV per atom



# 9
Entry from Alexandria via LeMat-Bulk: an optimized crystal structure of HoScPdRh (PBE).

```
4
Lattice="0.000 3.365 3.365 3.365 0.000 3.365 3.365 3.365 0.000" Properties=species:S:1:pos:R:3 pbc="T T T"
Ho 0.000 0.000 0.000
Sc 3.365 3.365 3.365
Pd 5.047 5.047 5.047
Rh 1.682 1.682 1.682
```



# 10
Entry from Alexandria via LeMat-Bulk: an optimized crystal structure of Na3ZrHg (PBE).

```
5
Lattice="6.310 0.000 0.000 0.000 6.310 0.000 0.000 0.000 6.310" Properties=species:S:1:pos:R:3 pbc="T T T"
Na 0.000 0.000 3.155
Na 0.000 3.155 0.000
Na 3.155 0.000 0.000
Zr 0.000 0.000 0.000
Hg 3.155 3.155 3.155
```

Results
* energy above the lowest structure with this stoichiometry: 312.4 meV per atom



# 11
Entry from Alexandria via LeMat-Bulk: an optimized crystal structure of TmZrIn2 (PBE).

```
4
Lattice="1.710 0.987 9.948 -1.710 0.987 9.948 0.000 -1.974 9.948" Properties=species:S:1:pos:R:3 pbc="T T T"
Tm 0.000 0.000 0.000
Zr 0.000 0.000 14.922
In 0.000 0.000 7.400
In 0.000 0.000 22.445
```



# 12
Entry from Alexandria via LeMat-Bulk: an optimized crystal structure of KZr2Ge2 (PBE).

```
10
Lattice="8.556 0.000 0.000 0.000 8.556 0.000 0.000 0.000 3.042" Properties=species:S:1:pos:R:3 pbc="T T T"
K 0.000 0.000 0.000
K 4.278 4.278 0.000
Zr 1.078 3.200 0.000
Zr 3.200 7.478 0.000
Zr 5.356 1.078 0.000
Zr 7.478 5.356 0.000
Ge 1.410 5.688 1.521
Ge 2.869 1.410 1.521
Ge 5.688 7.147 1.521
Ge 7.147 2.869 1.521
```

Results
* energy above the lowest structure with this stoichiometry: 0.0 meV per atom



# 13
Entry from Alexandria via LeMat-Bulk: an optimized crystal structure of Ti3ZnN (PBE).

```
10
Lattice="5.093 0.000 0.000 0.896 5.169 0.000 0.632 0.057 5.551" Properties=species:S:1:pos:R:3 pbc="T T T"
Ti 0.000 0.000 0.000
Ti 0.699 0.694 2.837
Ti 2.196 3.177 3.390
Ti 1.984 2.117 0.639
Ti 3.207 0.448 3.950
Ti 4.998 2.823 4.785
Zn 3.319 4.679 1.135
Zn 4.622 2.753 1.922
N 1.530 1.588 4.505
N 5.741 4.407 3.845
```

Results
* formation energy without anion corrections: -3.393 eV/f.u.
* energy above the lowest structure with this stoichiometry: 220.5 meV per atom



# 14
Entry from Alexandria via LeMat-Bulk: an optimized crystal structure of Sb3Mo5 (PBE).

```
16
Lattice="0.000 7.308 7.313 2.681 0.000 7.313 2.681 7.308 0.000" Properties=species:S:1:pos:R:3 pbc="T T T"
Sb 2.681 7.308 2.494
Sb 1.341 3.654 3.657
Sb 2.681 4.812 7.313
Sb 2.681 9.803 7.313
Sb 4.022 10.961 10.970
Sb 2.681 7.308 12.133
Mo 2.681 2.467 5.895
Mo 2.681 5.899 4.848
Mo 4.019 7.308 7.313
Mo 2.681 2.467 8.732
Mo 2.681 8.716 4.848
Mo 2.681 5.899 9.778
Mo 2.681 12.148 5.895
Mo 1.344 7.308 7.313
Mo 2.681 8.716 9.778
Mo 2.681 12.148 8.732
```

Results
* formation energy without anion corrections: 2.828 eV/f.u.
* energy above the lowest structure with this stoichiometry: 35.3 meV per atom



# 15
Entry from Alexandria via LeMat-Bulk: an optimized crystal structure of LiAl2SnPd (PBE).

```
5
Lattice="5.154 0.000 0.000 0.000 5.154 0.000 0.000 0.000 4.821" Properties=species:S:1:pos:R:3 pbc="T T T"
Li 0.000 0.000 0.000
Al 0.000 2.577 2.411
Al 2.577 0.000 2.411
Sn 0.000 0.000 2.411
Pd 2.577 2.577 0.000
```



# 16
Entry from Alexandria via LeMat-Bulk: an optimized crystal structure of SrTaSi2 (PBE).

```
4
Lattice="-2.033 2.033 4.869 2.033 -2.033 4.869 2.033 2.033 -4.869" Properties=species:S:1:pos:R:3 pbc="T T T"
Sr 0.000 0.000 0.000
Ta 2.033 0.000 2.434
Si 0.000 0.000 4.869
Si 0.000 2.033 2.434
```

Results
* formation energy without anion corrections: 1.762 eV/f.u.
* energy above the lowest structure with this stoichiometry: 620.6 meV per atom



# 17
Entry from Alexandria via LeMat-Bulk: an optimized crystal structure of O2F (PBE).

```
3
Lattice="3.497 0.000 0.000 1.145 3.503 0.000 0.432 1.268 3.874" Properties=species:S:1:pos:R:3 pbc="T T T"
O 0.000 0.000 0.000
O 0.497 0.344 1.042
F 2.419 2.564 1.833
```

Results
* formation energy without anion corrections: -0.248 eV/f.u.
* energy above the lowest structure with this stoichiometry: 7.2 meV per atom



# 18
Entry from Alexandria via LeMat-Bulk: an optimized crystal structure of AlFeIr2 (PBE).

```
4
Lattice="4.642 -1.417 0.000 4.642 1.417 0.000 -1.443 0.000 4.190" Properties=species:S:1:pos:R:3 pbc="T T T"
Al 0.000 0.000 0.000
Fe 1.416 0.000 2.633
Ir 3.956 0.000 2.147
Ir 6.751 0.000 0.516
```



# 19
Entry from Alexandria via LeMat-Bulk: an optimized crystal structure of Ac8GeIr3Se4 (PBE).

```
16
Lattice="4.404 2.542 7.603 -4.404 2.542 7.603 0.000 -5.085 7.603" Properties=species:S:1:pos:R:3 pbc="T T T"
Ac -2.269 -1.310 13.099
Ac 0.000 0.000 5.546
Ac 0.000 -2.620 9.709
Ac -2.269 1.310 9.709
Ac 2.269 -1.310 13.099
Ac 0.000 2.620 13.099
Ac 0.000 0.000 17.262
Ac 2.269 1.310 9.709
Ge 0.000 0.000 11.404
Ir -4.403 0.000 11.404
Ir -2.202 1.271 3.801
Ir 2.202 1.271 3.801
Se 0.000 0.000 0.000
Se -2.202 -1.271 7.603
Se -2.202 1.271 15.205
Se 0.000 2.542 7.603
```

Results
* formation energy without anion corrections: -20.494 eV/f.u.



# 20
Entry from Alexandria via LeMat-Bulk: an optimized crystal structure of CeDyOs2 (PBE).

```
4
Lattice="3.441 0.000 0.000 0.000 3.441 0.000 0.000 0.000 6.861" Properties=species:S:1:pos:R:3 pbc="T T T"
Ce 0.000 0.000 0.000
Dy 0.000 0.000 3.431
Os 1.721 1.721 1.648
Os 1.721 1.721 5.214
```

Results
* energy above the lowest structure with this stoichiometry: 0.0 meV per atom



# 21
Entry from Alexandria via LeMat-Bulk: an optimized crystal structure of Tb5SnSe5 (PBE).

```
11
Lattice="6.563 -2.942 0.000 6.563 2.942 0.000 -2.608 0.000 7.906" Properties=species:S:1:pos:R:3 pbc="T T T"
Tb 0.000 0.000 0.000
Tb 2.647 0.000 5.211
Tb 3.936 0.000 1.403
Tb 6.582 0.000 6.503
Tb 7.871 0.000 2.696
Sn 6.563 0.000 0.000
Se 1.305 0.000 2.651
Se 0.058 0.000 6.627
Se 5.259 0.000 3.953
Se 10.460 0.000 1.279
Se 9.213 0.000 5.255
```

Results
* formation energy without anion corrections: -18.187 eV/f.u.



The DFT total energy results, record by record, are as follows: -6.559, -2.426, -2.861, -7.285, -5.060, -3.188, -3.811, -3.366, -6.769, -1.480, -4.817, -5.745, -7.335, -7.962, -3.017, -5.655, -4.012, -7.853, -6.156, -8.375, -5.706 eV/atom.